Entry 1:
Computed, not measured: Mg2SiH after structural relaxation at the PBE level of DFT.

Values from the calculation:
The density of states at the Fermi level is 2.710 states/eV per cell.

a = 4.4690 Å, b = 4.4690 Å, c = 4.4690 Å
α = 60.00°, β = 60.00°, γ = 60.00°
Positions (direct):
Mg 0.2500 0.2500 0.2500
Mg 0.7500 0.7500 0.7500
Si 0.5000 0.5000 0.5000
H 0.0000 0.0000 0.0000

=====

Entry 2:
Computed, not measured: MgSi3H after structural relaxation at the PBE level of DFT.

Values from the calculation:
The density of states at the Fermi level is 2.095 states/eV per cell.

a = 4.0541 Å, b = 4.0541 Å, c = 4.0541 Å
α = 90.00°, β = 90.00°, γ = 90.00°
Positions (direct):
Mg 0.5000 0.5000 0.5000
H 0.0000 0.0000 0.0000
Si 0.0000 0.5000 0.0000
Si 0.0000 0.0000 0.5000
Si 0.5000 0.0000 0.0000

=====

Entry 3:
Computed, not measured: MgSiH3 after structural relaxation at the PBE level of DFT.

Values from the calculation:
The density of states at the Fermi level is 0.951 states/eV per cell.

a = 3.6874 Å, b = 3.6874 Å, c = 3.6874 Å
α = 90.00°, β = 90.00°, γ = 90.00°
Positions (direct):
H 0.5000 0.0000 0.0000
H 0.0000 0.0000 0.5000
H 0.0000 0.5000 0.0000
Si 0.5000 0.5000 0.5000
Mg 0.0000 0.0000 0.0000

=====

Entry 4:
Computed, not measured: MgSiH after structural relaxation at the PBE level of DFT.

Values from the calculation:
The density of states at the Fermi level is 0.877 states/eV per cell.

a = 2.9920 Å, b = 5.3725 Å, c = 5.3752 Å
α = 99.60°, β = 90.00°, γ = 106.17°
Positions (direct):
Si 0.5926 0.1851 0.2181
Si 0.4074 0.8149 0.7819
H 0.3401 0.6802 0.4816
H 0.6599 0.3198 0.5184
Mg 0.8617 0.7234 0.2107
Mg 0.1383 0.2766 0.7893

=====

Entry 5:
Computed, not measured: Mg2SiH after structural relaxation at the PBE level of DFT.

Values from the calculation:
The density of states at the Fermi level is 0.680 states/eV per cell.

a = 3.9233 Å, b = 3.9233 Å, c = 6.8805 Å
α = 73.44°, β = 73.44°, γ = 60.00°
Positions (direct):
H 0.0000 0.0000 0.0000
Si 0.5000 0.5000 0.5000
Mg 0.9066 0.9066 0.2801
Mg 0.0934 0.0934 0.7199

=====

Entry 6:
Computed, not measured: MgSiH after structural relaxation at the PBE level of DFT.

Values from the calculation:
The density of states at the Fermi level is 4.164 states/eV per cell.

a = 3.5203 Å, b = 3.5203 Å, c = 13.2821 Å
α = 90.00°, β = 90.00°, γ = 90.00°
Positions (direct):
H 0.5000 0.0000 0.7500
H 0.0000 0.5000 0.7500
H 0.0000 0.5000 0.2500
H 0.5000 0.0000 0.2500
Si 0.5000 0.0000 0.0000
Si 0.5000 0.0000 0.5000
Si 0.0000 0.5000 0.0000
Si 0.0000 0.5000 0.5000
Mg 0.0000 0.0000 0.1678
Mg 0.0000 0.0000 0.8322
Mg 0.5000 0.5000 0.6678
Mg 0.5000 0.5000 0.3322

=====

Entry 7:
Computed, not measured: Mg2SiH after structural relaxation at the PBE level of DFT.

Values from the calculation:
The density of states at the Fermi level is 2.748 states/eV per cell.

a = 5.1692 Å, b = 5.1692 Å, c = 6.5230 Å
α = 66.66°, β = 66.66°, γ = 90.00°
Positions (direct):
Si 0.7500 0.2500 0.5000
Si 0.0000 0.0000 0.0000
H 0.5000 0.5000 0.0000
H 0.2500 0.7500 0.5000
Mg 0.2377 0.6250 0.2500
Mg 0.5123 0.1250 0.2500
Mg 0.8750 0.7623 0.7500
Mg 0.3750 0.4877 0.7500

=====

Entry 8:
Computed, not measured: SrMg2SiH after structural relaxation at the PBE level of DFT.

Values from the calculation:
The density of states at the Fermi level is 4.848 states/eV per cell.

a = 4.2968 Å, b = 6.2621 Å, c = 8.1613 Å
α = 90.00°, β = 90.00°, γ = 110.06°
Positions (direct):
H 0.0000 0.0000 0.5000
H 0.0000 0.0000 0.0000
Mg 0.8301 0.6602 0.0605
Mg 0.8301 0.6602 0.4395
Mg 0.1699 0.3398 0.9395
Mg 0.1699 0.3398 0.5605
Si 0.7316 0.4631 0.7500
Si 0.2684 0.5369 0.2500
Sr 0.4536 0.9071 0.7500
Sr 0.5464 0.0929 0.2500

=====

Entry 9:
Computed, not measured: Sm4Mg2H after structural relaxation at the PBE level of DFT.

Values from the calculation:
The density of states at the Fermi level is 8.564 states/eV per cell.

a = 4.8907 Å, b = 4.8907 Å, c = 8.8123 Å
α = 106.11°, β = 106.11°, γ = 90.00°
Positions (direct):
Mg 0.3657 0.3657 0.7314
Mg 0.6343 0.6343 0.2686
Sm 0.0000 0.5000 0.0000
Sm 0.5000 0.0000 0.0000
Sm 0.1663 0.1663 0.3327
Sm 0.8337 0.8337 0.6673
H 0.0000 0.0000 0.0000

=====

Entry 10:
Computed, not measured: Sm3MgH after structural relaxation at the PBE level of DFT.

Values from the calculation:
The density of states at the Fermi level is 7.417 states/eV per cell.

a = 4.9930 Å, b = 4.9930 Å, c = 4.9930 Å
α = 90.00°, β = 90.00°, γ = 90.00°
Positions (direct):
Sm 0.5000 0.0000 0.0000
Sm 0.0000 0.5000 0.0000
Sm 0.0000 0.0000 0.5000
Mg 0.5000 0.5000 0.5000
H 0.0000 0.0000 0.0000

=====

Entry 11:
Computed, not measured: Sm2MgH8 after structural relaxation at the PBE level of DFT.

a = 3.8185 Å, b = 4.8544 Å, c = 6.3867 Å
α = 112.34°, β = 107.39°, γ = 90.00°
Positions (direct):
Sm 0.1710 0.6710 0.3420
Sm 0.8290 0.3290 0.6580
Mg 0.5000 0.0000 0.0000
H 0.6376 0.8825 0.2752
H 0.0000 0.7508 0.0000
H 0.0000 0.2492 0.0000
H 0.3624 0.1175 0.7248
H 0.6376 0.3927 0.2752
H 0.3624 0.6073 0.7248
H 0.1994 0.1994 0.3987
H 0.8006 0.8006 0.6013

=====

Entry 12:
Computed, not measured: Mg3Sn2H2 after structural relaxation at the PBE level of DFT.

Values from the calculation:
The density of states at the Fermi level is 1.698 states/eV per cell.

a = 3.3240 Å, b = 6.5907 Å, c = 6.0663 Å
α = 98.11°, β = 105.90°, γ = 90.00°
Positions (direct):
Mg 0.2875 0.7158 0.5750
Mg 0.7125 0.2842 0.4250
Mg 0.0000 0.5000 0.0000
Sn 0.4113 0.1374 0.8226
Sn 0.5887 0.8626 0.1774
H 0.1721 0.4325 0.3443
H 0.8279 0.5675 0.6557

=====

no.,DFT total energy (eV per atom),V (Å³/f.u.)
1,-2.752,63.1
2,-3.810,66.6
3,-2.873,50.1
4,-3.299,40.9
5,-2.879,86.6
6,-3.428,41.1
7,-2.737,72.2
8,-2.950,103.1
9,-3.623,193.9
10,-3.978,124.5
11,-3.898,103.6
12,-2.875,126.4